Entry 1:
The following is a DFT calculation (GGA-PBE) of crystalline Y2Mg3Pd2 at its relaxed geometry. Values from VASP.

```
&SYSTEM
  ibrav = 0, nat = 7, ntyp = 3
/
ATOMIC_SPECIES
Mg 24.30 Mg.upf
Y 88.91 Y.upf
Pd 106.42 Pd.upf
CELL_PARAMETERS angstrom
2.121 -10.547 0.000
2.121 10.547 0.000
0.000 0.000 3.633
ATOMIC_POSITIONS crystal
Mg 0.425 0.575 0.000
Mg 0.000 0.000 0.500
Mg 0.575 0.425 0.000
Y 0.828 0.172 0.500
Y 0.172 0.828 0.500
Pd 0.295 0.705 0.000
Pd 0.705 0.295 0.000
```

---

Entry 2:
The following is a DFT calculation (GGA-PBE) of crystalline YMgPd at its relaxed geometry. Values from VASP.

```
&SYSTEM
  ibrav = 0, nat = 9, ntyp = 3
/
ATOMIC_SPECIES
Pd 106.42 Pd.upf
Mg 24.30 Mg.upf
Y 88.91 Y.upf
CELL_PARAMETERS angstrom
7.366 0.000 0.000
-3.683 6.379 0.000
0.000 0.000 4.117
ATOMIC_POSITIONS crystal
Pd 0.000 0.000 0.500
Pd 0.667 0.333 0.000
Pd 0.333 0.667 0.000
Mg 0.000 0.244 0.000
Mg 0.756 0.756 0.000
Mg 0.244 0.000 0.000
Y 0.587 0.000 0.500
Y 0.000 0.587 0.500
Y 0.413 0.413 0.500
```

---

Entry 3:
The following is a DFT calculation (GGA-PBE) of crystalline YMgPd at its relaxed geometry. Values from VASP.

```
&SYSTEM
  ibrav = 0, nat = 6, ntyp = 3
/
ATOMIC_SPECIES
Pd 106.42 Pd.upf
Mg 24.30 Mg.upf
Y 88.91 Y.upf
CELL_PARAMETERS angstrom
5.048 0.000 0.000
-2.524 4.372 0.000
0.000 0.000 5.882
ATOMIC_POSITIONS crystal
Pd 0.333 0.667 0.499
Pd 0.667 0.333 0.999
Mg 0.000 0.000 0.251
Mg 0.000 0.000 0.751
Y 0.667 0.333 0.500
Y 0.333 0.667 0.000
```

---

Entry 4:
The following is a DFT calculation (GGA-PBE) of crystalline YMgPd at its relaxed geometry. Values from VASP.

```
&SYSTEM
  ibrav = 0, nat = 3, ntyp = 3
/
ATOMIC_SPECIES
Y 88.91 Y.upf
Mg 24.30 Mg.upf
Pd 106.42 Pd.upf
CELL_PARAMETERS angstrom
0.000 3.393 3.393
3.393 0.000 3.393
3.393 3.393 0.000
ATOMIC_POSITIONS crystal
Y 0.000 0.000 0.000
Mg 0.250 0.250 0.250
Pd 0.750 0.750 0.750
```

---

no.,theoretical density (kg/m3),DFT total energy (eV per atom)
1,4736,-4.508
2,5656,-5.091
3,5618,-5.005
4,4670,-4.309